Below is a relaxed structure of MgNbOs, with properties calculated at the PBE-GGA level.

## Properties
**Size of the total moment**: 0.00 μB/cell
**ΔH_f (0 K)**: -0.078 eV/atom

Lattice parameters (Å, degrees): 5.4035 5.4035 4.6715 90.00 90.00 131.25
Last column: nearest neighbours and their distance in Å.
Fractional positions:
Mg1 0.0681 0.9319 0.7500  2 Mg 2.69, 4 Nb 2.83-2.97, 2 Os 2.85
Mg2 0.9319 0.0681 0.2500  2 Mg 2.69, 4 Nb 2.83-2.97, 2 Os 2.85
Nb1 0.2545 0.7455 0.2500  4 Os 2.63-2.68, 2 Mg 2.83
Nb2 0.7455 0.2545 0.7500  4 Os 2.63-2.68, 2 Mg 2.83
Os1 0.3876 0.6124 0.7500  4 Nb 2.63-2.68, 2 Mg 2.85
Os2 0.6124 0.3876 0.2500  4 Nb 2.63-2.68, 2 Mg 2.85

Below is a relaxed structure of MgNbOs, with properties calculated at the PBE-GGA level.

## Properties
**Size of the total moment**: 0.00 μB/cell
**ΔH_f (0 K)**: 0.071 eV/atom

Lattice parameters (Å, degrees): 4.3809 4.3809 6.2975 98.09 98.09 88.85
Last column: nearest neighbours and their distance in Å.
Fractional positions:
Mg1 0.2133 0.2133 0.1435  2 Os 2.80-2.99, 1 Mg 2.91, 2 Nb 3.02
Mg2 0.7867 0.7867 0.8565  2 Os 2.80-2.99, 1 Mg 2.91, 2 Nb 3.02
Nb1 0.2448 0.7552 0.5000  4 Os 2.59-2.60
Nb2 0.7552 0.2448 0.5000  4 Os 2.59-2.60
Os1 0.3005 0.3005 0.7241  4 Nb 2.59-2.60, 1 Mg 2.80
Os2 0.6995 0.6995 0.2759  4 Nb 2.59-2.60, 1 Mg 2.80

Below is a relaxed structure of Mg2Nb2Os3, with properties calculated at the PBE-GGA level.

## Properties
**Size of the total moment**: 0.00 μB/cell
**ΔH_f (0 K)**: 0.031 eV/atom

Lattice parameters (Å, degrees): 4.4773 4.4773 7.6860 107.07 107.07 60.12
Last column: nearest neighbours and their distance in Å.
Fractional positions:
Mg1 0.1326 0.1326 0.3952  5 Os 2.81-2.90, 3 Mg 2.99-3.01
Mg2 0.8674 0.8674 0.6048  5 Os 2.81-2.90, 3 Mg 2.99-3.01
Nb1 0.3823 0.3823 0.1459  7 Os 2.62-2.79
Nb2 0.6177 0.6177 0.8541  7 Os 2.62-2.79
Os1 0.0000 0.0000 0.0000  6 Nb 2.79, 2 Mg 2.86, 6 Os 3.02
Os2 0.2605 0.2605 0.7839  4 Nb 2.62-2.64, 4 Mg 2.81-2.90
Os3 0.7395 0.7395 0.2161  4 Nb 2.62-2.64, 4 Mg 2.81-2.90

Below is a relaxed structure of MgNbOs, with properties calculated at the PBE-GGA level.

## Properties
**Size of the total moment**: 0.37 μB/cell
**ΔH_f (0 K)**: 0.014 eV/atom

Lattice parameters (Å, degrees): 5.5031 5.5031 5.5031 145.97 145.97 48.90
Last column: nearest neighbours and their distance in Å.
Fractional positions:
Mg1 0.0000 0.0000 0.0000  4 Os 2.84, 5 Nb 3.01-3.04
Nb1 0.3029 0.3029 0.0000  4 Os 2.64
Os1 0.6691 0.6691 0.0000  4 Nb 2.64, 4 Mg 2.84

Below is a relaxed structure of MgNb2Os, with properties calculated at the PBE-GGA level.

## Properties
**Size of the total moment**: 0.00 μB/cell
**ΔH_f (0 K)**: 0.434 eV/atom

Lattice parameters (Å, degrees): 6.0359 6.0359 6.0359 101.77 101.77 126.31
Last column: nearest neighbours and their distance in Å.
Fractional positions:
Mg1 0.0000 0.0000 0.0000  2 Os 2.73
Mg2 0.7500 0.2500 0.5000  2 Os 2.73
Nb1 0.1782 0.1250 0.5532  2 Os 2.52
Nb2 0.3750 0.8218 0.9468  2 Os 2.52
Nb3 0.5718 0.6250 0.4468  2 Os 2.52
Nb4 0.8750 0.4282 0.0532  2 Os 2.52
Os1 0.2500 0.7500 0.5000  4 Nb 2.52, 2 Mg 2.73
Os2 0.5000 0.5000 0.0000  4 Nb 2.52, 2 Mg 2.73

Below is a relaxed structure of MgNbOs, with properties calculated at the PBE-GGA level.

## Properties
**Size of the total moment**: 0.00 μB/cell
**ΔH_f (0 K)**: -0.005 eV/atom

Lattice parameters (Å, degrees): 5.4108 5.4108 4.5280 90.00 90.00 130.09
Last column: nearest neighbours and their distance in Å.
Fractional positions:
Mg1 0.0866 0.9134 0.7500  4 Os 2.78, 2 Mg 2.83, 3 Nb 2.95-3.03
Mg2 0.9134 0.0866 0.2500  4 Os 2.78, 2 Mg 2.83, 3 Nb 2.95-3.03
Nb1 0.3954 0.6046 0.7500  4 Os 2.67-2.70, 2 Mg 2.95
Nb2 0.6046 0.3954 0.2500  4 Os 2.67-2.70, 2 Mg 2.95
Os1 0.2516 0.7484 0.2500  4 Nb 2.67-2.70, 4 Mg 2.78
Os2 0.7484 0.2516 0.7500  4 Nb 2.67-2.70, 4 Mg 2.78

Below is a relaxed structure of Mg3NbOs, with properties calculated at the PBE-GGA level.

## Properties
**Size of the total moment**: 0.46 μB/cell
**ΔH_f (0 K)**: 2.176 eV/atom

Lattice parameters (Å, degrees): 5.0973 5.0973 5.0973 90.00 90.00 90.00
Last column: nearest neighbours and their distance in Å.
Fractional positions:
Mg1 0.0000 0.0000 0.5000  2 Nb 2.55
Mg2 0.0000 0.5000 0.0000  2 Nb 2.55
Mg3 0.5000 0.0000 0.0000  2 Nb 2.55
Nb1 0.0000 0.0000 0.0000  6 Mg 2.55
Os1 0.5000 0.5000 0.5000  12 Mg 3.60

Below is a relaxed structure of MgNb2Os2, with properties calculated at the PBE-GGA level.

## Properties
**Size of the total moment**: 0.00 μB/cell
**ΔH_f (0 K)**: -0.038 eV/atom

Lattice parameters (Å, degrees): 7.6269 7.6269 3.0454 90.00 90.00 90.00
Last column: nearest neighbours and their distance in Å.
Fractional positions:
Mg1 0.0000 0.0000 0.0000  4 Os 2.94, 2 Mg 3.05, 8 Nb 3.26
Mg2 0.5000 0.5000 0.0000  4 Os 2.94, 2 Mg 3.05, 8 Nb 3.26
Nb1 0.1553 0.3447 0.5000  6 Os 2.67-2.73
Nb2 0.3447 0.8447 0.5000  6 Os 2.67-2.73
Nb3 0.6553 0.1553 0.5000  6 Os 2.67-2.73
Nb4 0.8447 0.6553 0.5000  6 Os 2.67-2.73
Os1 0.1413 0.6413 0.0000  6 Nb 2.67-2.73, 2 Mg 2.94
Os2 0.3587 0.1413 0.0000  6 Nb 2.67-2.73, 2 Mg 2.94
Os3 0.6413 0.8587 0.0000  6 Nb 2.67-2.73, 2 Mg 2.94
Os4 0.8587 0.3587 0.0000  6 Nb 2.67-2.73, 2 Mg 2.94